The following is a GGA-PBE calculation of an optimized crystal structure of Ba3Tb3ScTe8, from Alexandria.

Lattice parameters (Å, degrees): 9.543 9.543 9.543 56.03 56.03 56.03
Sites, in units of the cell vectors:
1 Ba 0.000 0.500 0.500
2 Ba 0.500 0.000 0.500
3 Ba 0.500 0.500 0.000
4 Tb 0.000 0.000 0.500
5 Tb 0.000 0.500 0.000
6 Tb 0.500 0.000 0.000
7 Sc 0.500 0.500 0.500
8 Te 0.239 0.239 0.239
9 Te 0.244 0.733 0.733
10 Te 0.267 0.267 0.756
11 Te 0.267 0.756 0.267
12 Te 0.733 0.244 0.733
13 Te 0.733 0.733 0.244
14 Te 0.756 0.267 0.267
15 Te 0.761 0.761 0.761

Summary:
As for the uncorrected formation energy: -1.50 eV/atom. The space group is R-3m (166). The total magnetization is 0.000 μB per formula unit.

---

The following is a GGA-PBE calculation of an optimized crystal structure of Ba2TbScTe5, from Alexandria.

Lattice parameters (Å, degrees): 9.859 9.859 14.801 90.00 90.00 152.62
Sites, in units of the cell vectors:
1 Ba 0.107 0.893 0.500
2 Ba 0.143 0.857 0.123
3 Ba 0.857 0.143 0.623
4 Ba 0.893 0.107 0.000
5 Tb 0.212 0.788 0.831
6 Tb 0.788 0.212 0.331
7 Sc 0.471 0.529 0.263
8 Sc 0.529 0.471 0.763
9 Te 0.052 0.948 0.867
10 Te 0.283 0.717 0.470
11 Te 0.322 0.678 0.193
12 Te 0.373 0.627 0.812
13 Te 0.488 0.512 0.583
14 Te 0.512 0.488 0.083
15 Te 0.627 0.373 0.312
16 Te 0.678 0.322 0.693
17 Te 0.717 0.283 0.970
18 Te 0.948 0.052 0.367

Summary:
As for the uncorrected formation energy: -1.51 eV/atom. The space group is Cmc2_1 (36). The total magnetization is 0.000 μB per formula unit.